a.
A relaxed HoAgTe3Pb crystal, computed with PBE.

Geometry as CIF:
```
data_HoAgTe3Pb
_chemical_formula_sum 'Ho4 Ag4 Te12 Pb4'
_symmetry_space_group_name_H-M 'P n m a'
_symmetry_Int_Tables_number 62
_cell_length_a 11.302
_cell_length_b 4.356
_cell_length_c 14.728
_cell_angle_alpha 90.00
_cell_angle_beta 90.00
_cell_angle_gamma 90.00
loop_
_symmetry_equiv_pos_as_xyz
'x,y,z'
'-x,-y,-z'
'-x+1/2,-y,z+1/2'
'x+1/2,y,-z+1/2'
'x+1/2,-y+1/2,-z+1/2'
'-x+1/2,y+1/2,z+1/2'
'-x,y+1/2,-z'
'x,-y+1/2,z'
loop_
_atom_site_label
_atom_site_type_symbol
_atom_site_fract_x
_atom_site_fract_y
_atom_site_fract_z
_atom_site_occupancy
Ho1 Ho 0.020 0.250 0.243 1
Ag1 Ag 0.240 0.250 0.721 1
Te1 Te 0.035 0.250 0.610 1
Te2 Te 0.072 0.750 0.100 1
Te3 Te 0.233 0.750 0.844 1
Pb1 Pb 0.222 0.750 0.515 1
```

b.
A relaxed HoAgTe3Pb crystal, computed with PBE.

Geometry as CIF:
```
data_HoAgTe3Pb
_chemical_formula_sum 'Ho4 Ag4 Te12 Pb4'
_symmetry_space_group_name_H-M 'P n m a'
_symmetry_Int_Tables_number 62
_cell_length_a 9.067
_cell_length_b 4.555
_cell_length_c 17.823
_cell_angle_alpha 90.00
_cell_angle_beta 90.00
_cell_angle_gamma 90.00
loop_
_symmetry_equiv_pos_as_xyz
'x,y,z'
'-x,-y,-z'
'-x+1/2,-y,z+1/2'
'x+1/2,y,-z+1/2'
'x+1/2,-y+1/2,-z+1/2'
'-x+1/2,y+1/2,z+1/2'
'-x,y+1/2,-z'
'x,-y+1/2,z'
loop_
_atom_site_label
_atom_site_type_symbol
_atom_site_fract_x
_atom_site_fract_y
_atom_site_fract_z
_atom_site_occupancy
Ho1 Ho 0.248 0.250 0.032 1
Ag1 Ag 0.127 0.250 0.360 1
Te1 Te 0.026 0.250 0.587 1
Te2 Te 0.110 0.750 0.941 1
Te3 Te 0.193 0.250 0.206 1
Pb1 Pb 0.067 0.250 0.771 1
```

Name the most stable of them. a.